(1)
The following is a DFT calculation (PBE) of crystalline YScPb2 at its relaxed geometry.

Results
For the formation energy, the calculation gives -1.48 eV per formula unit. Its total magnetization is 0.86 μB/f.u. Its symmetry is C2/m. The total DFT energy (no corrections) comes out at -5.42 eV per atom.

Cell lengths 5.6134, 5.6134, 3.4749 Å; angles 91.82, 91.82, 103.11 degrees
Fractional coordinates of all 4 atoms:
Y (0.0000, 0.0000, 0.0000)
Sc (0.5000, 0.5000, 0.0000)
Pb (0.0000, 0.5000, 0.5000)
Pb (0.5000, 0.0000, 0.5000)

***

(2)
The following is a DFT calculation (PBE) of crystalline YScPb at its relaxed geometry.

Results
For the formation energy, the calculation gives -0.55 eV per formula unit. Its energy above the most stable polymorph in this dataset is 0.2968 eV/atom. Its total magnetization is 0.91 μB/f.u. Its symmetry is F-43m. The total DFT energy (no corrections) comes out at -5.69 eV per atom.

Cell lengths 5.0527, 5.0527, 5.0527 Å; angles 60.00, 60.00, 60.00 degrees
Fractional coordinates of all 3 atoms:
Y (0.0000, 0.0000, 0.0000)
Sc (0.5000, 0.5000, 0.5000)
Pb (0.7500, 0.7500, 0.7500)

***

(3)
The following is a DFT calculation (PBE) of crystalline Y2ScPb2 at its relaxed geometry.

Results
For the formation energy, the calculation gives 0.76 eV per formula unit. Its energy above the most stable polymorph in this dataset is 0.6375 eV/atom. Its total magnetization is 1.57 μB/f.u. Its symmetry is I4/mmm. The total DFT energy (no corrections) comes out at -5.18 eV per atom.

Cell lengths 8.8052, 8.8052, 8.8052 Å; angles 150.94, 150.94, 41.56 degrees
Fractional coordinates of all 5 atoms:
Y (0.1009, 0.1009, 0.0000)
Y (0.8991, 0.8991, 0.0000)
Sc (0.5000, 0.5000, 0.0000)
Pb (0.2500, 0.7500, 0.5000)
Pb (0.7500, 0.2500, 0.5000)

***

(4)
The following is a DFT calculation (PBE) of crystalline YScPb at its relaxed geometry.

Results
For the formation energy, the calculation gives -0.80 eV per formula unit. Its energy above the most stable polymorph in this dataset is 0.2157 eV/atom. Its total magnetization is 0.00 μB/f.u. Its symmetry is I4mm. The total DFT energy (no corrections) comes out at -5.77 eV per atom.

Cell lengths 6.9575, 6.9575, 6.9575 Å; angles 150.38, 150.38, 42.38 degrees
Fractional coordinates of all 3 atoms:
Y (0.0000, 0.0000, 0.0000)
Sc (0.3239, 0.3239, 0.0000)
Pb (0.6725, 0.6725, 0.0000)

***

(5)
The following is a DFT calculation (PBE) of crystalline YScPb2 at its relaxed geometry.

Results
For the formation energy, the calculation gives 0.13 eV per formula unit. Its total magnetization is 1.28 μB/f.u. Its symmetry is F-43m. The total DFT energy (no corrections) comes out at -5.02 eV per atom.

Cell lengths 5.4488, 5.4488, 5.4488 Å; angles 60.00, 60.00, 60.00 degrees
Fractional coordinates of all 4 atoms:
Y (0.0000, 0.0000, 0.0000)
Sc (0.7500, 0.7500, 0.7500)
Pb (0.2500, 0.2500, 0.2500)
Pb (0.5000, 0.5000, 0.5000)

***

(6)
The following is a DFT calculation (PBE) of crystalline YSc2Pb at its relaxed geometry.

Results
For the formation energy, the calculation gives -1.06 eV per formula unit. Its total magnetization is 0.80 μB/f.u. Its symmetry is I-4m2. The total DFT energy (no corrections) comes out at -5.97 eV per atom.

Cell lengths 5.9870, 5.9870, 5.9870 Å; angles 135.92, 135.92, 64.11 degrees
Fractional coordinates of all 4 atoms:
Y (0.0000, 0.0000, 0.0000)
Sc (0.2500, 0.7500, 0.5000)
Sc (0.5000, 0.5000, 0.0000)
Pb (0.7500, 0.2500, 0.5000)

***

(7)
The following is a DFT calculation (PBE) of crystalline YSc2Pb at its relaxed geometry.

Results
For the formation energy, the calculation gives -0.59 eV per formula unit. Its total magnetization is 0.00 μB/f.u. Its symmetry is C2/m. The total DFT energy (no corrections) comes out at -5.86 eV per atom.

Cell lengths 6.2398, 6.2398, 3.3426 Å; angles 102.08, 102.08, 117.97 degrees
Fractional coordinates of all 4 atoms:
Y (0.0000, 0.0000, 0.0000)
Sc (0.0000, 0.5000, 0.5000)
Sc (0.5000, 0.0000, 0.5000)
Pb (0.5000, 0.5000, 0.0000)

***

(8)
The following is a DFT calculation (PBE) of crystalline Y2ScPb9 at its relaxed geometry.

Results
For the formation energy, the calculation gives -2.82 eV per formula unit. Its total magnetization is 0.00 μB/f.u. Its symmetry is P4/mmm. The total DFT energy (no corrections) comes out at -4.62 eV per atom.

Cell lengths 4.8788, 4.8788, 14.4842 Å; angles 90.00, 90.00, 90.00 degrees
Fractional coordinates of all 12 atoms:
Y (0.0000, 0.0000, 0.1671)
Y (0.0000, 0.0000, 0.8329)
Sc (0.0000, 0.0000, 0.5000)
Pb (0.0000, 0.5000, 0.0000)
Pb (0.0000, 0.5000, 0.3387)
Pb (0.0000, 0.5000, 0.6613)
Pb (0.5000, 0.0000, 0.0000)
Pb (0.5000, 0.0000, 0.3387)
Pb (0.5000, 0.0000, 0.6613)
Pb (0.5000, 0.5000, 0.1692)
Pb (0.5000, 0.5000, 0.5000)
Pb (0.5000, 0.5000, 0.8308)